1.
DFT (SCAN) results for a crystal of ScTeAuI2 relaxed with PBEsol.

Summary:
E (eV per formula unit): -193.7
Symmetry: P4/mmm (123)
ΔE_f (raw) (eV per atom): 0.090
DOS(E_F) (states/eV/f.u.): 3.20

a b c (Å): 5.431 5.431 5.471
angles (deg): 90.00 90.00 90.00
Each line ends with the local moment (μB).
Atoms (fractional coordinates):
Te1 0.000 0.000 0.500  -0.06
Sc1 0.500 0.500 0.500  0.82
Au1 0.000 0.000 0.000  0.00
I1 0.000 0.500 0.000  -0.01
I2 0.500 0.000 0.000  -0.01



2.
DFT (SCAN) results for a crystal of ScTlBr2 relaxed with PBEsol.

Summary:
E (eV per formula unit): -128.2
Symmetry: Fm-3m (225)
ΔE_f (raw) (eV per atom): -0.673
DOS(E_F) (states/eV/f.u.): 1.62

a b c (Å): 5.181 5.181 5.181
angles (deg): 60.00 60.00 60.00
Each line ends with the local moment (μB).
Atoms (fractional coordinates):
Br1 0.750 0.750 0.750  0.01
Br2 0.250 0.250 0.250  0.01
Sc1 0.500 0.500 0.500  1.06
Tl1 0.000 0.000 0.000  0.11



3.
DFT (SCAN) results for a crystal of Sr4Ca5 relaxed with PBEsol.

Summary:
E (eV per formula unit): -136.8
Symmetry: P6_3/mcm (193)
DOS(E_F) (states/eV/f.u.): 11.48

a b c (Å): 7.657 11.131 11.131
angles (deg): 120.00 90.00 90.00
Atoms (fractional coordinates):
Ca1 0.000 0.667 0.333
Ca2 0.750 0.662 0.000
Ca3 0.500 0.333 0.667
Ca4 0.000 0.333 0.667
Ca5 0.500 0.667 0.333
Ca6 0.750 0.000 0.662
Ca7 0.750 0.338 0.338
Ca8 0.250 0.000 0.338
Ca9 0.250 0.338 0.000
Ca10 0.250 0.662 0.662
Sr1 0.500 0.000 0.000
Sr2 0.000 0.000 0.000
Sr3 0.750 0.335 0.000
Sr4 0.750 0.665 0.665
Sr5 0.750 0.000 0.335
Sr6 0.250 0.665 0.000
Sr7 0.250 0.335 0.335
Sr8 0.250 0.000 0.665



4.
DFT (SCAN) results for a crystal of NbI5 relaxed with PBEsol.

Summary:
E (eV per formula unit): -219.4
Symmetry: P-1 (2)
ΔE_f (raw) (eV per atom): -0.426

a b c (Å): 6.967 7.477 10.184
angles (deg): 108.77 90.86 116.48
Atoms (fractional coordinates):
Nb1 0.894 0.777 0.776
Nb2 0.106 0.223 0.224
I1 0.078 0.816 0.555
I2 0.464 0.598 0.337
I3 0.753 0.808 0.046
I4 0.129 0.607 0.849
I5 0.536 0.402 0.663
I6 0.922 0.184 0.445
I7 0.871 0.393 0.151
I8 0.319 0.003 0.251
I9 0.681 0.997 0.749
I10 0.247 0.192 0.954



Question: The lowest E belongs to which entry?
Answer: NbI5